Below is a relaxed Li3Ag7Hg crystal, with properties calculated at the GGA-PBE level.

```
data_Li3Ag7Hg
_space_group_name_H-M_alt 'C 1 2/m 1'
_space_group_IT_number 12
_space_group_name_Hall '-C 2y'
_cell_length_a 8.569
_cell_length_b 9.718
_cell_length_c 5.399
_cell_angle_alpha 90.00
_cell_angle_beta 112.52
_cell_angle_gamma 90.00
loop_
_atom_site_label
_atom_site_fract_x
_atom_site_fract_y
_atom_site_fract_z
_atom_site_occupancy
Li1 0.000 0.000 0.000 1
Li2 0.000 0.231 0.500 1
Ag1 0.000 0.500 0.500 1
Ag2 0.177 0.000 0.543 1
Ag3 0.178 0.235 0.194 1
Hg1 0.000 0.500 0.000 1
```

Results
The energy relative to the elements is 0.018 eV per atom. The calculation puts the total energy at -2.346 eV/atom. As for the crystal system: monoclinic.